1.
A relaxed ScAl2Sn crystal, computed with PBE-GGA.

Calculated values
The final energy comes out at -71.43 eV for the cell shown. The density of states at the Fermi level comes out at 9.096 states/eV per cell. The formation energy is 0.0 eV/f.u. Its total magnetization is 0.0 μB/f.u.

Cell lengths 7.890, 7.890, 5.749 Å; angles 90.00, 90.00, 90.00 degrees
Space group I-42d (No. 122)
Asymmetric unit:
Sc 0.000 0.000 0.000 (multiplicity 4)
Al 0.227 0.250 0.625 (multiplicity 8)
Sn 0.000 0.000 0.500 (multiplicity 4)

2.
A relaxed TbPm5Pr6 crystal, computed with PBE-GGA.

Calculated values
The final energy comes out at -113.81 eV for the cell shown. The density of states at the Fermi level comes out at 37.904 states/eV per cell. The formation energy is 0.2 eV/f.u. Its total magnetization is 0.0 μB/f.u.

Cell lengths 5.203, 10.377, 15.597 Å; angles 90.00, 90.00, 90.00 degrees
Space group Immm (No. 71)
Asymmetric unit:
Tb 0.000 0.000 0.000 (multiplicity 2)
Pm 0.000 0.000 0.333 (multiplicity 4)
Pm 0.000 0.500 0.000 (multiplicity 2)
Pm 0.000 0.500 0.334 (multiplicity 4)
Pr 0.000 0.249 0.166 (multiplicity 8)
Pr 0.000 0.251 0.500 (multiplicity 4)

3.
A relaxed PmDy8Y6 crystal, computed with PBE-GGA.

Calculated values
The final energy comes out at -235.45 eV for the cell shown. The density of states at the Fermi level comes out at 70.473 states/eV per cell. The formation energy is 1.9 eV/f.u. Its total magnetization is 0.0 μB/f.u.

Cell lengths 9.0586, 9.0586, 20.6015 Å; angles 90.00, 90.00, 120.00 degrees
Space group R-3 (No. 148, hexagonal axes)
Asymmetric unit:
Pm 0.0000 0.0000 0.0000 (multiplicity 3)
Dy 0.0000 0.0000 0.4238 (multiplicity 6)
Dy 0.0810 0.5275 0.8082 (multiplicity 18)
Y 0.0592 0.8135 0.7072 (multiplicity 18)

4.
A relaxed La4SmHg2 crystal, computed with PBE-GGA.

Calculated values
The final energy comes out at -76.19 eV for the cell shown. The density of states at the Fermi level comes out at 37.451 states/eV per cell. The formation energy is -0.4 eV/f.u. Its total magnetization is 0.0 μB/f.u.

Cell lengths 5.6620, 5.6620, 27.0053 Å; angles 90.00, 90.00, 120.00 degrees
Space group R-3m (No. 166, hexagonal axes)
Asymmetric unit:
La 0.0000 0.0000 0.1298 (multiplicity 6)
La 0.0000 0.0000 0.2702 (multiplicity 6)
Sm 0.0000 0.0000 0.5000 (multiplicity 3)
Hg 0.0000 0.0000 0.3879 (multiplicity 6)

5.
A relaxed CaCd2SeS crystal, computed with PBE-GGA.

Calculated values
The final energy comes out at -13.75 eV for the cell shown. The density of states at the Fermi level comes out at 0.753 states/eV per cell. Its total magnetization is 0.0 μB/f.u.

Cell lengths 5.135, 5.135, 5.394 Å; angles 90.00, 90.00, 90.00 degrees
Space group P4/mmm (No. 123)
Asymmetric unit:
Ca 0.000 0.000 0.000 (multiplicity 1)
Cd 0.000 0.500 0.500 (multiplicity 2)
Se 0.500 0.500 0.000 (multiplicity 1)
S 0.000 0.000 0.500 (multiplicity 1)

6.
A relaxed TbAgTe2 crystal, computed with PBE-GGA.

Calculated values
The final energy comes out at -69.27 eV for the cell shown. Its total magnetization is 0.0 μB/f.u.

Cell lengths 7.795, 4.208, 13.909 Å; angles 90.00, 90.00, 90.00 degrees
Space group Pnma (No. 62)
Asymmetric unit:
Tb 0.156 0.250 0.153 (multiplicity 4)
Ag 0.080 0.750 0.444 (multiplicity 4)
Te 0.078 0.250 0.737 (multiplicity 4)
Te 0.188 0.750 0.986 (multiplicity 4)

7.
A relaxed Sc2PBr crystal, computed with PBE-GGA.

Calculated values
The final energy comes out at -93.67 eV for the cell shown. The density of states at the Fermi level comes out at 8.585 states/eV per cell. Its total magnetization is 1.4 μB/f.u.

Cell lengths 6.726, 6.726, 6.726 Å; angles 90.00, 90.00, 90.00 degrees
Space group Fm-3m (No. 225)
Asymmetric unit:
Sc 0.250 0.250 0.250 (multiplicity 8)
P 0.000 0.000 0.000 (multiplicity 4)
Br 0.000 0.000 0.500 (multiplicity 4)

8.
A relaxed Si2AsP crystal, computed with PBE-GGA.

Calculated values
The calculation puts the relative energy among the computed polymorphs at 0.066 eV per atom. The final energy comes out at -61.03 eV for the cell shown. The density of states at the Fermi level comes out at 6.769 states/eV per cell. Its total magnetization is 0.0 μB/f.u.

Cell lengths 3.5348, 3.5348, 21.1157 Å; angles 90.00, 90.00, 120.00 degrees
Space group R3m (No. 160, hexagonal axes)
Asymmetric unit:
Si 0.0000 0.0000 0.0000 (multiplicity 3)
Si 0.0000 0.0000 0.2375 (multiplicity 3)
As 0.0000 0.0000 0.7271 (multiplicity 3)
P 0.0000 0.0000 0.5203 (multiplicity 3)

9.
A relaxed InGaSnAu crystal, computed with PBE-GGA.

Calculated values
The final energy comes out at -51.92 eV for the cell shown. The density of states at the Fermi level comes out at 8.554 states/eV per cell. The formation energy is 0.1 eV/f.u. Its total magnetization is 0.0 μB/f.u.

Cell lengths 7.131, 7.131, 7.131 Å; angles 90.00, 90.00, 90.00 degrees
Space group F-43m (No. 216)
Asymmetric unit:
In 0.000 0.000 0.000 (multiplicity 4)
Ga 0.250 0.250 0.750 (multiplicity 4)
Sn 0.000 0.000 0.500 (multiplicity 4)
Au 0.250 0.250 0.250 (multiplicity 4)

10.
A relaxed ZrMo crystal, computed with PBE-GGA.

Calculated values
The calculation puts the relative energy among the computed polymorphs at 0.026 eV per atom. The final energy comes out at -38.82 eV for the cell shown. The density of states at the Fermi level comes out at 4.222 states/eV per cell. The formation energy is 0.0 eV/f.u. Its total magnetization is 0.0 μB/f.u.

Cell lengths 3.226, 3.226, 7.343 Å; angles 90.00, 90.00, 90.00 degrees
Space group P4/nmm (No. 129, origin choice 2)
Asymmetric unit:
Zr 0.250 0.250 0.149 (multiplicity 2)
Mo 0.250 0.250 0.597 (multiplicity 2)

11.
A relaxed TaCu2Te crystal, computed with PBE-GGA.

Calculated values
The final energy comes out at -43.17 eV for the cell shown. The density of states at the Fermi level comes out at 6.108 states/eV per cell. Its total magnetization is 0.0 μB/f.u.

Cell lengths 10.242, 3.226, 4.543 Å; angles 90.00, 115.53, 90.00 degrees
Space group C2/m (No. 12)
Asymmetric unit:
Ta 0.000 0.000 0.000 (multiplicity 2)
Cu 0.248 0.000 0.751 (multiplicity 4)
Te 0.000 0.500 0.500 (multiplicity 2)

12.
A relaxed HfMnFeN2 crystal, computed with PBE-GGA.

Calculated values
The final energy comes out at -35.79 eV for the cell shown. The density of states at the Fermi level comes out at 11.399 states/eV per cell. Its total magnetization is 0.5 μB/f.u.

Cell lengths 4.050, 4.050, 4.902 Å; angles 90.00, 90.00, 90.00 degrees
Space group P4/mmm (No. 123)
Asymmetric unit:
Hf 0.000 0.000 0.000 (multiplicity 1)
Mn 0.500 0.500 0.500 (multiplicity 1)
Fe 0.000 0.000 0.500 (multiplicity 1)
N 0.000 0.500 0.000 (multiplicity 2)

> total magnetization of number 4 (La4SmHg2)?

0.0 μB/f.u.